Entry 1:
The following is a DFT calculation (PBE-GGA) of crystalline BiHRh3 at its relaxed geometry.

Output
Energy: -116.0 eV/cell

a b c (Å): 8.251 4.896 7.294
angles (deg): 90.00 101.09 90.00
Space group P2_1/c (No. 14)
Asymmetric unit:
Bi1 0.123 0.103 0.200
H1 0.413 0.700 0.061
Rh1 0.197 0.596 0.063
Rh2 0.341 0.076 0.937
Rh3 0.453 0.594 0.812

***

Entry 2:
The following is a DFT calculation (PBE-GGA) of crystalline BiHRh3 at its relaxed geometry.

Output
Energy: -115.3 eV/cell

a b c (Å): 13.880 4.339 5.052
angles (deg): 90.00 107.05 90.00
Space group C2/m (No. 12)
Asymmetric unit:
Bi1 0.087 0.000 0.303
H1 0.183 0.500 0.905
Rh1 0.042 0.500 0.786
Rh2 0.182 0.000 0.890
Rh3 0.199 0.500 0.552

***

Entry 3:
The following is a DFT calculation (PBE-GGA) of crystalline BiHRh3 at its relaxed geometry.

Output
Energy: -231.6 eV/cell

a b c (Å): 10.180 12.147 4.915
angles (deg): 90.00 108.32 90.00
Space group C2/c (No. 15)
Asymmetric unit:
Bi1 0.143 0.094 0.037
H1 0.000 0.300 0.250
H2 0.000 0.445 0.750
Rh1 0.118 0.322 0.006
Rh2 0.120 0.438 0.499
Rh3 0.131 0.205 0.517

***

Entry 4:
The following is a DFT calculation (PBE-GGA) of crystalline BiHRh3 at its relaxed geometry.

Output
Energy: -116.0 eV/cell

a b c (Å): 7.171 5.616 9.383
angles (deg): 90.00 130.59 90.00
Space group P2_1/c (No. 14)
Asymmetric unit:
Bi1 0.213 0.181 0.357
H1 0.318 0.731 0.222
Rh1 0.010 0.748 0.004
Rh2 0.315 0.689 0.414
Rh3 0.497 0.503 0.762

***

Entry 5:
The following is a DFT calculation (PBE-GGA) of crystalline BiHRh3 at its relaxed geometry.

Output
Energy: -170.8 eV/cell

a b c (Å): 5.0682 5.0682 20.1030
angles (deg): 90.00 90.00 120.00
Space group R-3 (No. 148, hexagonal axes)
Asymmetric unit:
Bi1 0.0000 0.0000 0.1664
H1 0.0000 0.0000 0.4238
Rh1 0.0002 0.3342 0.0550

***

Entry 6:
The following is a DFT calculation (PBE-GGA) of crystalline BiHRh3 at its relaxed geometry.

Output
Energy: -168.8 eV/cell

a b c (Å): 6.7658 6.7658 11.1785
angles (deg): 90.00 90.00 120.00
Space group R-3c (No. 167, hexagonal axes)
Asymmetric unit:
Bi1 0.0000 0.0000 0.0000
H1 0.0000 0.0000 0.2500
Rh1 0.0000 0.2602 0.2500

***

Entry 7:
The following is a DFT calculation (PBE-GGA) of crystalline Bi3H12Rh5 at its relaxed geometry.

Output
Energy: -685.7 eV/cell

a b c (Å): 11.823 11.823 11.823
angles (deg): 90.00 90.00 90.00
Space group Ia-3d (No. 230)
Asymmetric unit:
Bi1 0.000 0.250 0.125
H1 0.046 0.130 0.942
Rh1 0.000 0.000 0.000
Rh2 0.000 0.250 0.375

***

Entry 8:
The following is a DFT calculation (PBE-GGA) of crystalline Bi2H5Rh2 at its relaxed geometry.

Output
Energy: -77.9 eV/cell

a b c (Å): 3.281 5.307 14.021
angles (deg): 90.84 91.16 97.67
Space group P1 (No. 1)
Asymmetric unit:
Bi1 0.000 0.000 0.000
Bi2 0.183 0.972 0.550
Bi3 0.466 0.493 0.665
Bi4 0.743 0.488 0.117
H1 0.206 0.172 0.250
H2 0.249 0.297 0.390
H3 0.266 0.685 0.390
H4 0.299 0.803 0.251
H5 0.385 0.514 0.895
H6 0.450 0.159 0.830
H7 0.714 0.069 0.380
H8 0.764 0.499 0.319
H9 0.871 0.010 0.770
H10 0.952 0.658 0.834
Rh1 0.004 0.303 0.828
Rh2 0.217 0.988 0.355
Rh3 0.255 0.491 0.282
Rh4 0.506 0.803 0.838

***

Entry 9:
The following is a DFT calculation (PBE-GGA) of crystalline BiHRh3 at its relaxed geometry.

Output
Energy: -56.0 eV/cell

a b c (Å): 4.5680 4.5680 7.9624
angles (deg): 90.00 90.00 120.00
Space group P6_3/mmc (No. 194)
Asymmetric unit:
Bi1 0.3333 0.6667 0.2500
H1 0.0000 0.0000 0.0000
Rh1 0.0000 0.0000 0.2500
Rh2 0.3333 0.6667 0.5771

***

Entry 10:
The following is a DFT calculation (PBE-GGA) of crystalline BiHRh3 at its relaxed geometry.

Output
Energy: -53.7 eV/cell

a b c (Å): 2.891 5.270 12.910
angles (deg): 90.00 90.00 90.00
Space group Amm2 (No. 38)
Asymmetric unit:
Bi1 0.000 0.000 0.000
H1 0.500 0.000 0.662
Rh1 0.000 0.238 0.187
Rh2 0.500 0.000 0.821

***

Entry 11:
The following is a DFT calculation (PBE-GGA) of crystalline BiHRh2 at its relaxed geometry.

Output
Energy: -175.0 eV/cell

a b c (Å): 5.658 10.429 7.875
angles (deg): 90.00 90.00 90.00
Space group Cmce (No. 64)
Asymmetric unit:
Bi1 0.000 0.155 0.059
H1 0.000 0.066 0.630
Rh1 0.000 0.113 0.391
Rh2 0.250 0.141 0.750

***

Entry 12:
The following is a DFT calculation (PBE-GGA) of crystalline BiHRh3 at its relaxed geometry.

Output
Energy: -466.4 eV/cell

a b c (Å): 10.617 10.617 10.617
angles (deg): 90.00 90.00 90.00
Space group Fd-3m (No. 227, origin choice 2)
Asymmetric unit:
Bi1 0.000 0.000 0.000
H1 0.000 0.000 0.500
Rh1 0.060 0.375 0.875

***

| no. | N(E_F) (states/eV/cell) |
| --- | --- |
| 1 | 20.10 |
| 2 | 27.69 |
| 3 | 79.93 |
| 4 | 18.34 |
| 5 | 33.03 |
| 6 | 33.02 |
| 7 | 18.78 |
| 8 | 4.60 |
| 9 | 6.44 |
| 10 | 13.45 |
| 11 | 26.68 |
| 12 | 134.13 |